[1]
A relaxed Ca2MgIn3 crystal. Source: the Alexandria database, functional PBE-GGA.

Geometry as extended XYZ:
```
12
Lattice="-3.481 -1.781 4.877 5.779 -2.208 0.893 1.009 9.351 1.342" Properties=species:S:1:pos:R:3 pbc="T T T"
In 3.811 -0.859 2.610
In 0.726 2.475 1.422
In 4.091 6.008 2.525
In 2.581 2.886 5.690
In -0.503 6.220 4.502
In -0.783 -0.647 4.587
Ca -0.661 2.788 4.552
Ca 1.728 -3.000 4.338
Ca 3.969 2.574 2.560
Ca 0.570 -0.990 1.432
Mg 1.435 4.893 2.811
Mg 1.872 0.469 4.301
```

Results
Crystal system = orthorhombic
SG = Fmmm (69)
ΔH_f (0 K) = -0.36 eV per atom
Calculated total energy = -2.66 eV/atom
Total moment = 0.0 Bohr magnetons per cell



[2]
A relaxed NaCa2Mg2In5 crystal. Source: the Alexandria database, functional PBE-GGA.

Geometry as extended XYZ:
```
20
Lattice="4.509 0.000 0.000 0.000 10.879 0.000 0.000 0.000 10.879" Properties=species:S:1:pos:R:3 pbc="T T T"
In 2.255 5.440 0.000
In 2.255 0.000 5.440
In 2.255 2.213 0.728
In 2.255 7.653 4.711
In 2.255 6.168 7.653
In 2.255 8.666 10.151
In 2.255 3.227 6.168
In 2.255 10.151 2.213
In 2.255 4.711 3.227
In 2.255 0.728 8.666
Mg 0.000 1.298 6.737
Mg 0.000 4.142 1.298
Mg 0.000 9.582 4.142
Mg 0.000 6.737 9.582
Na 0.000 5.440 5.440
Na 0.000 0.000 0.000
Ca 0.000 1.924 3.515
Ca 0.000 8.955 7.364
Ca 0.000 3.515 8.955
Ca 0.000 7.364 1.924
```

Results
Crystal system = tetragonal
SG = P4/mbm (127)
ΔH_f (0 K) = -0.22 eV per atom
Calculated total energy = -2.45 eV/atom
Total moment = 0.0 Bohr magnetons per cell



[3]
A relaxed Ca2NdMg2In2 crystal. Source: the Alexandria database, functional PBE-GGA.

Geometry as extended XYZ:
```
7
Lattice="5.052 0.000 0.000 2.526 4.375 0.000 2.526 1.458 9.331" Properties=species:S:1:pos:R:3 pbc="T T T"
In 2.526 1.458 1.987
In 7.578 4.375 7.345
Ca 2.526 1.458 5.723
Ca 7.578 4.375 3.609
Nd 0.000 0.000 0.000
Mg 5.052 2.917 7.633
Mg 5.052 2.917 1.698
```

Results
Crystal system = trigonal
SG = R-3m (166)
ΔH_f (0 K) = -0.29 eV per atom
Calculated total energy = -2.79 eV/atom
Total moment = 0.0 Bohr magnetons per cell



[4]
A relaxed CaNdMgIn crystal. Source: the Alexandria database, functional PBE-GGA.

Geometry as extended XYZ:
```
4
Lattice="5.479 0.000 0.000 2.739 4.745 0.000 2.739 1.582 4.473" Properties=species:S:1:pos:R:3 pbc="T T T"
In 5.479 3.163 2.237
Ca 2.739 1.582 1.118
Mg 0.000 0.000 0.000
Nd 8.218 4.745 3.355
```

Results
Crystal system = cubic
SG = F-43m (216)
ΔH_f (0 K) = -0.33 eV per atom
Calculated total energy = -3.11 eV/atom
Total moment = 0.0 Bohr magnetons per cell



[5]
A relaxed CaMgIn2Ni crystal. Source: the Alexandria database, functional PBE-GGA.

Geometry as extended XYZ:
```
5
Lattice="4.982 0.000 0.000 0.000 4.982 0.000 0.000 0.000 4.859" Properties=species:S:1:pos:R:3 pbc="T T T"
In 0.000 2.491 0.000
In 2.491 0.000 0.000
Ca 2.491 2.491 2.430
Ni 0.000 0.000 0.000
Mg 0.000 0.000 2.430
```

Results
Crystal system = tetragonal
SG = P4/mmm (123)
ΔH_f (0 K) = -0.21 eV per atom
Calculated total energy = -3.18 eV/atom
Total moment = 0.0 Bohr magnetons per cell



[6]
A relaxed CaMg2InNi crystal. Source: the Alexandria database, functional PBE-GGA.

Geometry as extended XYZ:
```
5
Lattice="4.907 0.000 0.000 0.000 4.907 0.000 0.000 0.000 4.959" Properties=species:S:1:pos:R:3 pbc="T T T"
Mg 2.454 0.000 0.000
Mg 0.000 2.454 0.000
In 0.000 0.000 2.479
Ca 2.454 2.454 2.479
Ni 0.000 0.000 0.000
```

Results
Crystal system = tetragonal
SG = P4/mmm (123)
ΔH_f (0 K) = -0.16 eV per atom
Calculated total energy = -2.90 eV/atom
Total moment = 0.0 Bohr magnetons per cell



[7]
A relaxed Ca2MgInO5 crystal. Source: the Alexandria database, functional PBE-GGA.

Geometry as extended XYZ:
```
18
Lattice="-0.777 2.473 2.280 1.792 -5.433 3.890 9.926 3.207 -0.096" Properties=species:S:1:pos:R:3 pbc="T T T"
O 10.978 -0.056 3.803
O 4.855 1.884 2.225
O 7.232 3.657 1.112
O 1.872 -0.230 3.501
O 0.851 -0.463 0.792
O 4.923 -1.084 2.853
O 6.384 -0.487 5.318
O 7.301 -0.094 2.590
O 4.037 -3.304 4.960
O 9.286 2.387 3.190
Ca 3.249 -0.226 1.353
Ca 6.747 1.349 0.836
Ca 2.297 -1.714 5.257
Ca 8.457 0.721 4.715
In 9.246 3.891 1.544
In 5.799 -2.318 4.491
Mg 5.538 0.701 3.741
Mg 0.888 -1.912 2.377
```

Results
Crystal system = orthorhombic
SG = Cmc2_1 (36)
Calculated total energy = -5.88 eV/atom
Total moment = 2.1 Bohr magnetons per cell
Energy relative to the elements, uncorrected = -212 kJ per mole of atoms



[8]
A relaxed Ca2MgInO crystal. Source: the Alexandria database, functional PBE-GGA.

Geometry as extended XYZ:
```
5
Lattice="-0.829 2.802 3.942 -4.742 -1.259 -0.102 0.857 -3.440 2.626" Properties=species:S:1:pos:R:3 pbc="T T T"
Ca -0.415 1.401 1.971
Ca -2.371 -0.630 -0.051
In -2.357 -0.948 3.233
O 0.000 0.000 0.000
Mg 0.428 -1.720 1.313
```

Results
Crystal system = tetragonal
SG = P4/mmm (123)
Calculated total energy = -3.92 eV/atom
Total moment = 0.0 Bohr magnetons per cell
Energy relative to the elements, uncorrected = -122 kJ per mole of atoms



[9]
A relaxed CaMgInPb crystal. Source: the Alexandria database, functional PBE-GGA.

Geometry as extended XYZ:
```
4
Lattice="-2.169 -3.198 2.150 2.825 -3.352 -2.137 3.239 0.332 3.760" Properties=species:S:1:pos:R:3 pbc="T T T"
Pb 3.032 -1.510 0.811
Mg 0.328 -3.275 0.007
Ca 0.535 -1.433 2.955
In 0.000 0.000 0.000
```

Results
Crystal system = orthorhombic
SG = Pmmm (47)
ΔH_f (0 K) = -0.31 eV per atom
Calculated total energy = -2.82 eV/atom
Total moment = 0.0 Bohr magnetons per cell



[10]
A relaxed CaMgIn2Pb crystal. Source: the Alexandria database, functional PBE-GGA.

Geometry as extended XYZ:
```
5
Lattice="-1.962 -1.305 5.321 5.023 0.702 2.024 -1.167 5.622 0.949" Properties=species:S:1:pos:R:3 pbc="T T T"
In -0.584 2.811 0.474
In -0.981 -0.653 2.661
Pb 0.000 0.000 0.000
Ca 0.947 2.509 4.147
Mg 2.511 0.351 1.012
```

Results
Crystal system = tetragonal
SG = P4/mmm (123)
ΔH_f (0 K) = 0.30 eV per atom
Calculated total energy = -2.26 eV/atom
Total moment = 0.0 Bohr magnetons per cell



[11]
A relaxed CaMgInPb crystal. Source: the Alexandria database, functional PBE-GGA.

Geometry as extended XYZ:
```
4
Lattice="-1.499 -4.568 -2.357 3.108 -4.345 0.363 -1.559 -4.165 2.982" Properties=species:S:1:pos:R:3 pbc="T T T"
In 0.038 -9.809 0.742
Ca 0.025 -6.539 0.494
Pb 0.013 -3.270 0.247
Mg 0.000 0.000 0.000
```

Results
Crystal system = cubic
SG = F-43m (216)
ΔH_f (0 K) = -0.27 eV per atom
Calculated total energy = -2.79 eV/atom
Total moment = 0.0 Bohr magnetons per cell



[12]
A relaxed Ca2Mg2InPd5 crystal. Source: the Alexandria database, functional PBE-GGA.

Geometry as extended XYZ:
```
20
Lattice="-1.878 -0.235 3.107 8.215 -4.137 4.653 3.232 9.417 2.667" Properties=species:S:1:pos:R:3 pbc="T T T"
Pd 0.677 4.591 2.887
Pd 0.907 -0.372 2.650
Pd 8.661 5.417 7.776
Pd 3.333 3.929 4.443
Pd 2.147 7.157 3.970
Pd 6.235 1.117 5.984
Pd 3.168 -2.186 3.880
Pd 3.633 0.886 4.394
Pd 7.422 -2.112 6.457
Pd 5.935 4.159 6.033
In 5.723 2.640 3.660
In 0.000 0.000 0.000
Mg 3.045 5.368 2.247
Mg 7.961 5.657 5.241
Mg 3.485 -0.376 2.078
Mg 8.402 -0.087 5.072
Ca 2.488 2.338 1.681
Ca 6.110 -1.145 3.607
Ca 5.337 6.425 3.713
Ca 8.959 2.943 5.639
```

Results
Crystal system = tetragonal
SG = P4/mbm (127)
ΔH_f (0 K) = -0.59 eV per atom
Calculated total energy = -4.18 eV/atom
Total moment = 0.0 Bohr magnetons per cell



[13]
A relaxed CaPmMgIn crystal. Source: the Alexandria database, functional PBE-GGA.

Geometry as extended XYZ:
```
4
Lattice="5.458 0.000 0.000 2.729 4.727 0.000 2.729 1.576 4.457" Properties=species:S:1:pos:R:3 pbc="T T T"
Pm 5.458 3.151 2.228
In 8.188 4.727 3.343
Mg 2.729 1.576 1.114
Ca 0.000 0.000 0.000
```

Results
Crystal system = cubic
SG = F-43m (216)
ΔH_f (0 K) = -0.33 eV per atom
Calculated total energy = -3.10 eV/atom
Total moment = 0.0 Bohr magnetons per cell



[14]
A relaxed CaPrMgIn crystal. Source: the Alexandria database, functional PBE-GGA.

Geometry as extended XYZ:
```
4
Lattice="5.499 0.000 0.000 2.750 4.763 0.000 2.750 1.588 4.490" Properties=species:S:1:pos:R:3 pbc="T T T"
Mg 0.000 0.000 0.000
In 5.499 3.175 2.245
Ca 8.249 4.763 3.368
Pr 2.750 1.588 1.123
```

Results
Crystal system = cubic
SG = F-43m (216)
ΔH_f (0 K) = -0.34 eV per atom
Calculated total energy = -3.11 eV/atom
Total moment = 0.0 Bohr magnetons per cell



[15]
A relaxed Ca2MgIn2Pt5 crystal. Source: the Alexandria database, functional PBE-GGA.

Geometry as extended XYZ:
```
20
Lattice="-1.565 -0.757 -3.420 1.534 -9.962 1.502 -9.177 -0.754 4.366" Properties=species:S:1:pos:R:3 pbc="T T T"
Ca -4.872 -8.777 4.171
Ca -2.772 -1.939 1.697
Ca -0.530 -6.799 1.747
Ca -7.114 -3.918 4.122
In -0.631 -3.780 1.125
In -2.057 -8.941 2.920
In -5.586 -1.776 2.949
In -7.013 -6.937 4.744
Pt -0.016 -5.359 -0.959
Pt -8.110 -1.575 1.908
Pt -1.098 -9.898 0.541
Pt -5.371 -0.756 0.473
Pt -1.029 -2.333 -1.165
Pt -5.439 -3.871 1.193
Pt -8.179 -9.141 3.613
Pt -3.770 -7.602 1.255
Pt -6.273 -6.468 2.150
Pt -2.935 -5.005 0.299
Mg -3.822 -5.358 2.934
Mg 0.000 0.000 0.000
```

Results
Crystal system = tetragonal
SG = P4/mbm (127)
ΔH_f (0 K) = -0.62 eV per atom
Calculated total energy = -4.75 eV/atom
Total moment = 0.0 Bohr magnetons per cell



[16]
A relaxed CaPuMgIn crystal. Source: the Alexandria database, functional PBE-GGA.

Geometry as extended XYZ:
```
4
Lattice="-0.934 -4.978 -1.949 4.160 -3.304 -1.110 0.916 -4.349 3.114" Properties=species:S:1:pos:R:3 pbc="T T T"
In 1.036 -3.158 0.014
Pu 2.071 -6.316 0.028
Mg 3.107 -9.473 0.041
Ca 0.000 0.000 0.000
```

Results
Crystal system = cubic
SG = F-43m (216)
ΔH_f (0 K) = -0.08 eV per atom
Calculated total energy = -5.25 eV/atom
Total moment = 5.7 Bohr magnetons per cell



[17]
A relaxed Ca2PuMg2In5 crystal. Source: the Alexandria database, functional PBE-GGA.

Geometry as extended XYZ:
```
20
Lattice="4.601 0.000 0.000 0.000 10.783 0.000 0.000 0.000 10.783" Properties=species:S:1:pos:R:3 pbc="T T T"
In 2.300 8.557 10.077
In 2.300 6.096 7.617
In 2.300 5.391 0.000
In 2.300 2.226 0.705
In 2.300 10.077 2.226
In 2.300 7.617 4.686
In 2.300 3.165 6.096
In 2.300 0.000 5.391
In 2.300 0.705 8.557
In 2.300 4.686 3.165
Mg 0.000 6.710 9.464
Mg 0.000 1.319 6.710
Mg 0.000 9.464 4.073
Mg 0.000 4.073 1.319
Ca 0.000 8.899 7.275
Ca 0.000 7.275 1.883
Ca 0.000 3.508 8.899
Ca 0.000 1.883 3.508
Pu 0.000 5.391 5.391
Pu 0.000 0.000 0.000
```

Results
Crystal system = tetragonal
SG = P4/mbm (127)
ΔH_f (0 K) = -0.21 eV per atom
Calculated total energy = -3.73 eV/atom
Total moment = 11.8 Bohr magnetons per cell



[18]
A relaxed CaMg2InRe crystal. Source: the Alexandria database, functional PBE-GGA.

Geometry as extended XYZ:
```
5
Lattice="-4.590 1.780 1.313 -1.408 0.077 -5.028 -1.734 -4.774 0.412" Properties=species:S:1:pos:R:3 pbc="T T T"
Ca -3.866 -1.458 -1.652
Re 0.000 0.000 0.000
In -0.704 0.039 -2.514
Mg -0.867 -2.387 0.206
Mg -2.295 0.890 0.657
```

Results
Crystal system = tetragonal
SG = P4/mmm (123)
ΔH_f (0 K) = 0.38 eV per atom
Calculated total energy = -3.70 eV/atom
Total moment = 0.0 Bohr magnetons per cell



[19]
A relaxed Ca2MgIn2Rh5 crystal. Source: the Alexandria database, functional PBE-GGA.

Geometry as extended XYZ:
```
20
Lattice="-3.134 0.451 1.389 -4.046 -6.788 -6.929 1.823 -7.906 6.681" Properties=species:S:1:pos:R:3 pbc="T T T"
Rh -2.779 -5.238 -0.268
Rh -1.813 -6.322 2.265
Rh -2.578 -9.006 1.408
Rh -0.326 -6.605 5.712
Rh -3.590 -3.169 -2.770
Rh -3.141 -12.728 1.345
Rh -2.216 -1.516 -0.205
Rh -3.544 -7.922 -1.125
Rh -0.655 -3.728 4.035
Rh -5.031 -7.639 -4.572
Mg 0.000 0.000 0.000
Mg -1.111 -7.347 -0.124
In -0.990 -11.150 1.383
In -1.232 -3.545 -1.631
In 0.612 -5.932 3.307
In -2.835 -8.762 -3.555
Ca 0.171 -8.848 3.258
Ca -2.155 -10.928 -1.317
Ca -2.394 -5.847 -3.506
Ca -0.068 -3.767 1.069
```

Results
Crystal system = tetragonal
SG = P4/mbm (127)
ΔH_f (0 K) = -0.30 eV per atom
Calculated total energy = -5.08 eV/atom
Total moment = 0.0 Bohr magnetons per cell



[20]
A relaxed CaMgIn2Rh crystal. Source: the Alexandria database, functional PBE-GGA.

Geometry as extended XYZ:
```
5
Lattice="-2.631 4.321 -0.924 -2.510 -0.576 4.451 3.513 2.635 2.322" Properties=species:S:1:pos:R:3 pbc="T T T"
In -1.315 2.160 -0.462
In -1.255 -0.288 2.226
Ca -0.814 3.190 2.925
Rh 0.000 0.000 0.000
Mg 1.756 1.318 1.161
```

Results
Crystal system = tetragonal
SG = P4/mmm (123)
ΔH_f (0 K) = -0.29 eV per atom
Calculated total energy = -3.58 eV/atom
Total moment = 0.0 Bohr magnetons per cell